Compound: Ba3CoAs2O8
Source: Alexandria via LeMat-Bulk
Functional: PBE with a Hubbard U
Structure: relaxed

Values from the calculation:
Total magnetic moment (Bohr magnetons per cell): 1.58
SG: P-3m1 (164)
Energy (eV/atom): -6.09
Mass density (Mg/m³): 5.5

Cell: 5.8760 5.8760 7.6178 Å, 90.00 90.00 120.00°
Last column: nearest neighbours and their distance in Å.
Fractional coordinates of all 14 atoms:
Ba  0.3333  0.6667  0.6484  1 O 2.54
Ba  0.6667  0.3333  0.3516  1 O 2.54
Ba  0.0000  0.0000  0.0000  6 O 2.98
Co  0.0000  0.0000  0.5000  6 O 2.18
As  0.3333  0.6667  0.2173  4 O 1.79-1.87
As  0.6667  0.3333  0.7827  4 O 1.79-1.87
O  0.3333  0.6667  0.9821  1 As 1.79
O  0.6667  0.3333  0.0179  1 As 1.79
O  0.1671  0.8329  0.3209  1 As 1.87
O  0.8329  0.1671  0.6791  1 As 1.87
O  0.1671  0.3342  0.3209  1 As 1.87
O  0.8329  0.6658  0.6791  1 As 1.87
O  0.6658  0.8329  0.3209  1 As 1.87
O  0.3342  0.1671  0.6791  1 As 1.87